# 1
VASP calculation (PBE) on crystalline GdHoInIr at its relaxed geometry.

Cell lengths 5.0879, 5.0879, 5.0879 Å; angles 60.00, 60.00, 60.00 degrees
Last column: nearest neighbours and their distance in Å.
Fractional positions:
Gd 0.7500 0.7500 0.7500  4 In 3.12, 4 Ir 3.12
Ir 0.0000 0.0000 0.0000  4 Gd 3.12, 4 Ho 3.12
Ho 0.2500 0.2500 0.2500  4 Ir 3.12, 4 In 3.12
In 0.5000 0.5000 0.5000  4 Ho 3.12, 4 Gd 3.12

Output
Uncorrected energy: -8.10 eV per atom
Energy of formation from the pure elements: -0.538 eV per atom
Crystal system: cubic

***

# 2
VASP calculation (PBE) on crystalline La2Sc4H at its relaxed geometry.

Cell lengths 4.6787, 4.6787, 8.9282 Å; angles 74.81, 74.81, 90.00 degrees
Last column: nearest neighbours and their distance in Å.
Fractional positions:
Sc 0.8674 0.8674 0.2652  1 H 2.20
Sc 0.1326 0.1326 0.7348  1 H 2.20
Sc 0.0000 0.5000 0.0000  2 H 2.34
Sc 0.5000 0.0000 0.0000  2 H 2.34
H 0.0000 0.0000 0.0000  6 Sc 2.20-2.34
La 0.6591 0.6591 0.6818  9 Sc 3.34-3.53
La 0.3409 0.3409 0.3182  9 Sc 3.34-3.53

Output
Uncorrected energy: -5.40 eV per atom
Crystal system: tetragonal

***

# 3
VASP calculation (PBE) on crystalline TbPm5Sm12 at its relaxed geometry.

Cell lengths 11.9964, 10.5567, 5.8475 Å; angles 89.99, 89.99, 55.38 degrees
Last column: nearest neighbours and their distance in Å.
Fractional positions:
Tb 0.0000 0.0000 0.0000  10 Sm 3.58-3.92, 4 Pm 3.76
Pm 0.5000 0.0000 0.5000  10 Sm 3.61-3.94, 4 Pm 3.77
Pm 0.1359 0.7281 0.5000  8 Sm 3.37-3.69, 2 Tb 3.76
Pm 0.8641 0.2719 0.5000  8 Sm 3.37-3.69, 2 Tb 3.76
Pm 0.6371 0.7259 0.0000  8 Sm 3.40-3.68, 2 Pm 3.77
Pm 0.3629 0.2741 0.0000  8 Sm 3.40-3.68, 2 Pm 3.77
Sm 0.8006 0.0000 0.4689  2 Sm 3.15-3.16, 2 Pm 3.37
Sm 0.1994 0.0000 0.5311  2 Sm 3.15-3.16, 2 Pm 3.37
Sm 0.7018 0.0000 0.9685  2 Sm 3.15-3.16, 2 Pm 3.40
Sm 0.2983 0.0000 0.0315  2 Sm 3.15-3.16, 2 Pm 3.40
Sm 0.3320 0.6412 0.9952  6 Sm 3.39-3.77, 3 Pm 3.51-3.68, 1 Tb 3.61
Sm 0.0268 0.6412 0.0048  6 Sm 3.39-3.77, 3 Pm 3.51-3.68, 1 Tb 3.61
Sm 0.9732 0.3588 0.9952  6 Sm 3.39-3.77, 3 Pm 3.51-3.68, 1 Tb 3.61
Sm 0.6680 0.3588 0.0048  6 Sm 3.39-3.77, 3 Pm 3.51-3.68, 1 Tb 3.61
Sm 0.4725 0.3594 0.5050  6 Sm 3.39-3.77, 4 Pm 3.50-3.69
Sm 0.8320 0.6406 0.5050  6 Sm 3.39-3.77, 4 Pm 3.50-3.69
Sm 0.1680 0.3594 0.4950  6 Sm 3.39-3.77, 4 Pm 3.50-3.69
Sm 0.5275 0.6406 0.4950  6 Sm 3.39-3.77, 4 Pm 3.50-3.69

Output
Uncorrected energy: -4.64 eV per atom
Energy of formation from the pure elements: 0.084 eV per atom
Crystal system: monoclinic

***

# 4
VASP calculation (PBE) on crystalline LaCdH2N at its relaxed geometry.

Cell lengths 4.4299, 4.0800, 4.4299 Å; angles 90.00, 90.00, 90.00 degrees
Last column: nearest neighbours and their distance in Å.
Fractional positions:
H 0.0000 0.0000 0.5000  2 N 2.21
H 0.5000 0.0000 0.0000  2 N 2.21
N 0.0000 0.0000 0.0000  2 Cd 2.04, 4 H 2.21
Cd 0.0000 0.5000 0.0000  2 N 2.04
La 0.5000 0.5000 0.5000  8 H 3.01, 4 Cd 3.13

Output
Uncorrected energy: -3.24 eV per atom
Crystal system: tetragonal

***

# 5
VASP calculation (PBE) on crystalline ScTl2Br at its relaxed geometry.

Cell lengths 5.5450, 5.5450, 3.5098 Å; angles 90.00, 90.00, 98.06 degrees
Last column: nearest neighbours and their distance in Å.
Fractional positions:
Br 0.5000 0.0000 0.5000  8 Tl 3.28, 2 Br 3.51, 2 Sc 3.64
Sc 0.0000 0.5000 0.5000  8 Tl 3.28, 2 Sc 3.51, 2 Br 3.64
Tl 0.0000 0.0000 0.0000  4 Br 3.28, 4 Sc 3.28, 4 Tl 3.51-3.64
Tl 0.5000 0.5000 0.0000  4 Sc 3.28, 4 Br 3.28, 4 Tl 3.51-3.64

Output
Uncorrected energy: -3.44 eV per atom
E above lowest polymorph: 303 meV/atom
Crystal system: orthorhombic

***

# 6
VASP calculation (PBE) on crystalline KLaTe2N at its relaxed geometry.

Cell lengths 5.9922, 5.9922, 4.6784 Å; angles 90.00, 90.00, 90.00 degrees
Last column: nearest neighbours and their distance in Å.
Fractional positions:
N 0.0000 0.0000 0.5000  2 K 2.34
K 0.0000 0.0000 0.0000  2 N 2.34
Te 0.0000 0.5000 0.0000  2 K 3.00
Te 0.5000 0.0000 0.0000  2 K 3.00
La 0.5000 0.5000 0.5000  8 Te 3.80, 4 N 4.24

Output
Uncorrected energy: -3.64 eV per atom
E above lowest polymorph: 832 meV/atom
Crystal system: tetragonal

***

# 7
VASP calculation (PBE) on crystalline La3Pm2Au2 at its relaxed geometry.

Cell lengths 3.9373, 6.7392, 9.2536 Å; angles 101.58, 102.28, 107.01 degrees
Last column: nearest neighbours and their distance in Å.
Fractional positions:
La 0.5000 0.0000 0.0000  4 Au 3.06
La 0.1679 0.7768 0.5566  3 Au 3.15-3.27, 1 La 3.42
La 0.8321 0.2232 0.4434  3 Au 3.15-3.27, 1 La 3.42
Pm 0.6566 0.4981 0.8157  2 Au 3.13
Pm 0.3434 0.5019 0.1843  2 Au 3.13
Au 0.0584 0.8915 0.2265  5 La 3.06-3.27, 2 Pm 3.13
Au 0.9416 0.1085 0.7735  5 La 3.06-3.27, 2 Pm 3.13

Output
Uncorrected energy: -4.86 eV per atom
Energy of formation from the pure elements: -0.459 eV per atom
Crystal system: triclinic

***

# 8
VASP calculation (PBE) on crystalline LiVSe3 at its relaxed geometry.

Cell lengths 11.0116, 11.0116, 4.5550 Å; angles 90.00, 90.00, 144.97 degrees
Last column: nearest neighbours and their distance in Å.
Fractional positions:
V 0.2760 0.7240 0.2500  6 Se 2.50-2.79
V 0.7240 0.2760 0.7500  6 Se 2.50-2.79
Se 0.4700 0.0808 0.2500  3 V 2.50-2.79, 1 Li 2.53
Se 0.9192 0.5300 0.2500  3 V 2.50-2.79, 1 Li 2.53
Se 0.0808 0.4700 0.7500  3 V 2.50-2.79, 1 Li 2.53
Se 0.5300 0.9192 0.7500  3 V 2.50-2.79, 1 Li 2.53
Se 0.0000 0.0000 0.0000  2 Se 2.28
Se 0.0000 0.0000 0.5000  2 Se 2.28
Li 0.1112 0.8888 0.2500  4 Se 2.53-2.60
Li 0.8888 0.1112 0.7500  4 Se 2.53-2.60

Output
Uncorrected energy: -4.61 eV per atom
E above lowest polymorph: 435 meV/atom
Crystal system: orthorhombic

***

| no. | N(E_F) (states/eV/atom) | total magnetic moment (μB/cell) |
| --- | --- | --- |
| 1 | 0.67 | 7.117 |
| 2 | 1.74 | 0.001 |
| 3 | 1.54 | 0.000 |
| 4 | 0.53 | 0.000 |
| 5 | 0.90 | 0.000 |
| 6 | 0.40 | 2.865 |
| 7 | 1.03 | 0.000 |
| 8 | 0.67 | 3.671 |